(1)
Here is a relaxed Tc3BiTe crystal from Alexandria. Energies are from GGA-PBE.

Results
energy above the most stable polymorph in this dataset: 0.0 meV/atom
space group: Pm-3m, No. 221

abc: 4.8917 4.8917 4.8917
angles: 90.00 90.00 90.00
Closest atoms and distances in Å follow each position.
Atoms (fractional coordinates):
Te (0.0000, 0.0000, 0.0000)  6 Tc 2.45
Bi (0.5000, 0.5000, 0.5000)  12 Tc 3.46
Tc (0.0000, 0.5000, 0.0000)  2 Te 2.45
Tc (0.0000, 0.0000, 0.5000)  2 Te 2.45
Tc (0.5000, 0.0000, 0.0000)  2 Te 2.45

=====

(2)
Here is a relaxed Y4PuHg5 crystal from Alexandria. Energies are from GGA-PBE.

Results
calculated formation energy: -0.425 eV/atom
space group: P4/mmm, No. 123

abc: 3.7204 3.7204 18.8023
angles: 90.00 90.00 90.00
Closest atoms and distances in Å follow each position.
Atoms (fractional coordinates):
Y (0.0000, 0.0000, 0.2024)  8 Hg 3.18-3.23
Y (0.0000, 0.0000, 0.4008)  8 Hg 3.22
Y (0.0000, 0.0000, 0.5992)  8 Hg 3.22
Y (0.0000, 0.0000, 0.7976)  8 Hg 3.18-3.23
Pu (0.0000, 0.0000, 0.0000)  8 Hg 3.32
Hg (0.5000, 0.5000, 0.1073)  4 Y 3.18, 4 Pu 3.32
Hg (0.5000, 0.5000, 0.3020)  8 Y 3.22-3.23
Hg (0.5000, 0.5000, 0.5000)  8 Y 3.22
Hg (0.5000, 0.5000, 0.6980)  8 Y 3.22-3.23
Hg (0.5000, 0.5000, 0.8927)  4 Y 3.18, 4 Pu 3.32

=====

(3)
Here is a relaxed ScInSe2Br crystal from Alexandria. Energies are from GGA-PBE.

Results
energy above the most stable polymorph in this dataset: 715.3 meV/atom
space group: P4/mmm, No. 123

abc: 5.2861 5.2861 5.2681
angles: 90.00 90.00 90.00
Closest atoms and distances in Å follow each position.
Atoms (fractional coordinates):
Sc (0.5000, 0.5000, 0.5000)  8 Se 3.73, 4 Br 3.74
Se (0.0000, 0.5000, 0.0000)  2 In 2.64
Se (0.5000, 0.0000, 0.0000)  2 In 2.64
Br (0.0000, 0.0000, 0.5000)  2 In 2.63
In (0.0000, 0.0000, 0.0000)  2 Br 2.63, 4 Se 2.64

=====

(4)
Here is a relaxed LaCe4Bi3 crystal from Alexandria. Energies are from GGA-PBE.

Results
calculated formation energy: -0.431 eV/atom
space group: C2/m, No. 12

abc: 5.0525 6.4237 8.8120
angles: 114.38 106.66 90.00
Closest atoms and distances in Å follow each position.
Atoms (fractional coordinates):
La (0.0000, 0.0000, 0.0000)  4 Bi 3.41, 2 Ce 3.67
Ce (0.1386, 0.6903, 0.2772)  2 Ce 2.96, 3 Bi 3.29-3.30
Ce (0.8614, 0.3097, 0.7228)  2 Ce 2.96, 3 Bi 3.29-3.30
Ce (0.7219, 0.6491, 0.4438)  2 Ce 2.96
Ce (0.2781, 0.3509, 0.5562)  2 Ce 2.96
Bi (0.3546, 0.9259, 0.7093)  7 Ce 3.29-3.50, 2 La 3.41, 1 Bi 3.44
Bi (0.6454, 0.0741, 0.2907)  7 Ce 3.29-3.50, 2 La 3.41, 1 Bi 3.44
Bi (0.5000, 0.5000, 0.0000)  6 Ce 3.30-3.44, 2 Bi 3.44

=====

(5)
Here is a relaxed MgReSi2 crystal from Alexandria. Energies are from GGA-PBE.

Results
E_tot: -6.002 eV per atom
space group: I-4m2, No. 119

abc: 4.8696 4.8696 4.8696
angles: 134.55 134.55 66.23
Closest atoms and distances in Å follow each position.
Atoms (fractional coordinates):
Mg (0.5000, 0.5000, 0.0000)  8 Si 2.66-2.77, 4 Re 2.77
Re (0.7500, 0.2500, 0.5000)  8 Si 2.66-2.77, 4 Mg 2.77
Si (0.0000, 0.0000, 0.0000)  4 Mg 2.66, 4 Re 2.77, 4 Si 2.77
Si (0.2500, 0.7500, 0.5000)  4 Re 2.66, 4 Mg 2.77, 4 Si 2.77

=====

(6)
Here is a relaxed Pr3PaRh3 crystal from Alexandria. Energies are from GGA-PBE.

Results
calculated formation energy: -0.551 eV/atom
space group: P4_2/mnm, No. 136

abc: 5.8928 11.3761 11.3768
angles: 90.00 90.00 90.00
Closest atoms and distances in Å follow each position.
Atoms (fractional coordinates):
Pr (0.0000, 0.1232, 0.6345)  5 Rh 2.89-3.12
Pr (0.5000, 0.1346, 0.3767)  5 Rh 2.89-3.12
Pr (0.5000, 0.1156, 0.8843)  4 Rh 2.90-2.97
Pr (0.0000, 0.3844, 0.3843)  4 Rh 2.90-2.97
Pr (0.0000, 0.3654, 0.8767)  5 Rh 2.89-3.12
Pr (0.5000, 0.3768, 0.1345)  5 Rh 2.89-3.12
Pr (0.5000, 0.6232, 0.8655)  5 Rh 2.89-3.12
Pr (0.0000, 0.6346, 0.1233)  5 Rh 2.89-3.12
Pr (0.0000, 0.6156, 0.6157)  4 Rh 2.90-2.97
Pr (0.5000, 0.8844, 0.1157)  4 Rh 2.90-2.97
Pr (0.5000, 0.8654, 0.6233)  5 Rh 2.89-3.12
Pr (0.0000, 0.8768, 0.3655)  5 Rh 2.89-3.12
Pa (0.0000, 0.1368, 0.1368)  4 Rh 2.54-2.66
Pa (0.5000, 0.3632, 0.6368)  4 Rh 2.54-2.66
Pa (0.5000, 0.6368, 0.3632)  4 Rh 2.54-2.66
Pa (0.0000, 0.8632, 0.8632)  4 Rh 2.54-2.66
Rh (0.0000, 0.0927, 0.9072)  2 Pa 2.66, 2 Pr 2.97
Rh (0.0000, 0.1307, 0.3601)  1 Pa 2.54
Rh (0.5000, 0.1398, 0.6306)  1 Pa 2.54
Rh (0.0000, 0.3602, 0.1306)  1 Pa 2.54
Rh (0.5000, 0.3693, 0.8601)  1 Pa 2.54
Rh (0.5000, 0.4073, 0.4072)  2 Pa 2.66, 2 Pr 2.97
Rh (0.5000, 0.5927, 0.5928)  2 Pa 2.66, 2 Pr 2.97
Rh (0.5000, 0.6307, 0.1399)  1 Pa 2.54
Rh (0.0000, 0.6398, 0.8694)  1 Pa 2.54
Rh (0.5000, 0.8602, 0.3694)  1 Pa 2.54
Rh (0.0000, 0.8693, 0.6399)  1 Pa 2.54
Rh (0.0000, 0.9073, 0.0928)  2 Pa 2.66, 2 Pr 2.97

=====

(7)
Here is a relaxed ZnPd2Pt2 crystal from Alexandria. Energies are from GGA-PBE.

Results
calculated formation energy: -0.107 eV/atom
energy above the most stable polymorph in this dataset: 144.1 meV/atom
space group: C2/m, No. 12

abc: 5.3752 4.9858 7.5031
angles: 79.57 70.37 57.38
Closest atoms and distances in Å follow each position.
Atoms (fractional coordinates):
Zn (0.1748, 0.6504, 0.0000)  4 Pt 2.58-2.68, 2 Pd 2.67
Zn (0.8252, 0.3496, 0.0000)  4 Pt 2.58-2.68, 2 Pd 2.67
Pd (0.7646, 0.0000, 0.4533)  4 Pd 2.69-2.90, 6 Pt 2.71-2.78
Pd (0.5662, 0.0000, 0.1523)  3 Pd 2.61-2.90, 2 Zn 2.67, 4 Pt 2.73-2.82
Pd (0.4338, 0.0000, 0.8477)  3 Pd 2.61-2.90, 2 Zn 2.67, 4 Pt 2.73-2.82
Pd (0.2354, 0.0000, 0.5467)  4 Pd 2.69-2.90, 6 Pt 2.71-2.78
Pt (0.6328, 0.4354, 0.6966)  2 Zn 2.58-2.68, 5 Pd 2.71-2.82, 3 Pt 2.74-2.85
Pt (0.3672, 0.5646, 0.3034)  2 Zn 2.58-2.68, 5 Pd 2.71-2.82, 3 Pt 2.74-2.85
Pt (0.0682, 0.5646, 0.6966)  2 Zn 2.58-2.68, 5 Pd 2.71-2.82, 3 Pt 2.74-2.85
Pt (0.9318, 0.4354, 0.3034)  2 Zn 2.58-2.68, 5 Pd 2.71-2.82, 3 Pt 2.74-2.85

=====

(8)
Here is a relaxed CsNaMgH4 crystal from Alexandria. Energies are from GGA-PBE.

Results
E_tot: -2.646 eV per atom
space group: P2_1/m, No. 11

abc: 5.5096 6.1974 8.6032
angles: 90.00 115.36 90.00
Closest atoms and distances in Å follow each position.
Atoms (fractional coordinates):
Cs (0.6037, 0.7500, 0.8928)  3 H 2.90-3.19
Cs (0.3963, 0.2500, 0.1072)  3 H 2.90-3.19
Na (0.8385, 0.7500, 0.5063)  3 H 2.18-2.30
Na (0.1615, 0.2500, 0.4937)  3 H 2.18-2.30
Mg (0.1802, 0.7500, 0.3115)  4 H 1.83-1.88
Mg (0.8198, 0.2500, 0.6885)  4 H 1.83-1.88
H (0.0494, 0.4789, 0.6997)  1 Mg 1.88
H (0.9506, 0.9789, 0.3003)  1 Mg 1.88
H (0.9506, 0.5211, 0.3003)  1 Mg 1.88
H (0.0494, 0.0211, 0.6997)  1 Mg 1.88
H (0.2816, 0.7500, 0.1345)  1 Mg 1.83
H (0.7184, 0.2500, 0.8655)  1 Mg 1.83
H (0.4566, 0.7500, 0.5267)  1 Mg 1.83
H (0.5434, 0.2500, 0.4733)  1 Mg 1.83

=====

(9)
Here is a relaxed ZrTiNb2C crystal from Alexandria. Energies are from GGA-PBE.

Results
calculated formation energy: -0.216 eV/atom
space group: P4/mmm, No. 123

abc: 4.4628 4.4628 4.1841
angles: 90.00 90.00 90.00
Closest atoms and distances in Å follow each position.
Atoms (fractional coordinates):
Nb (0.0000, 0.5000, 0.0000)  2 C 2.23
Nb (0.5000, 0.0000, 0.0000)  2 C 2.23
C (0.0000, 0.0000, 0.0000)  2 Ti 2.09, 4 Nb 2.23
Zr (0.5000, 0.5000, 0.5000)  8 Nb 3.06, 4 Ti 3.16
Ti (0.0000, 0.0000, 0.5000)  2 C 2.09

=====

(10)
Here is a relaxed Sr4GePd3 crystal from Alexandria. Energies are from GGA-PBE.

Results
calculated formation energy: -0.601 eV/atom
space group: Pmm2, No. 25

abc: 4.4343 4.5428 11.4305
angles: 90.00 90.00 90.00
Closest atoms and distances in Å follow each position.
Atoms (fractional coordinates):
Sr (0.5000, 0.5000, 0.3637)  6 Pd 3.26, 1 Ge 3.55
Sr (0.0000, 0.5000, 0.8540)  2 Ge 3.17, 5 Pd 3.21-3.36
Sr (0.0000, 0.0000, 0.1434)  3 Pd 3.12-3.25, 4 Ge 3.34
Sr (0.5000, 0.0000, 0.6347)  7 Pd 3.25-3.61
Ge (0.5000, 0.5000, 0.0527)  2 Pd 2.55
Pd (0.0000, 0.5000, 0.5731)  2 Pd 2.82
Pd (0.0000, 0.0000, 0.4274)  2 Pd 2.82
Pd (0.5000, 0.0000, 0.9509)  2 Ge 2.55

=====

(11)
Here is a relaxed PmTm2TlC crystal from Alexandria. Energies are from GGA-PBE.

Results
calculated formation energy: -0.428 eV/atom
space group: P4/mmm, No. 123

abc: 5.0822 4.8560 4.8560
angles: 90.00 90.00 90.00
Closest atoms and distances in Å follow each position.
Atoms (fractional coordinates):
Pm (0.5000, 0.0000, 0.0000)  2 C 2.54
Tm (0.0000, 0.0000, 0.5000)  2 C 2.43
Tm (0.0000, 0.5000, 0.0000)  2 C 2.43
Tl (0.5000, 0.5000, 0.5000)  4 Pm 3.43, 8 Tm 3.51
C (0.0000, 0.0000, 0.0000)  4 Tm 2.43, 2 Pm 2.54

=====

(12)
Here is a relaxed RbTaNO2 crystal from Alexandria. Energies are from GGA-PBE.

Results
E_tot: -7.788 eV per atom
space group: P4/mmm, No. 123

abc: 4.0788 4.0788 4.2174
angles: 90.00 90.00 90.00
Closest atoms and distances in Å follow each position.
Atoms (fractional coordinates):
N (0.0000, 0.0000, 0.5000)  2 Ta 2.11
O (0.0000, 0.5000, 0.0000)  2 Ta 2.04
O (0.5000, 0.0000, 0.0000)  2 Ta 2.04
Rb (0.5000, 0.5000, 0.5000)  4 N 2.88, 8 O 2.93
Ta (0.0000, 0.0000, 0.0000)  4 O 2.04, 2 N 2.11